A plane-wave DFT calculation with PBE was carried out for ZrAg4Se after structural relaxation.

CIF file:
```
data_ZrAg4Se
_chemical_formula_sum 'Zr4 Ag16 Se4'
_cell_length_a 7.816
_cell_length_b 7.816
_cell_length_c 7.816
_cell_angle_alpha 90.00
_cell_angle_beta 90.00
_cell_angle_gamma 90.00
_space_group_name_H-M_alt 'F -4 3 m'
_space_group_IT_number 216
_space_group_name_Hall 'F -4 2 3'
loop_
_atom_site_label
_atom_site_fract_x
_atom_site_fract_y
_atom_site_fract_z
Zr1 0.000 0.000 0.000
Ag1 0.125 0.125 0.625
Se1 0.250 0.250 0.250
```

## Properties
The uncorrected energy comes out at -90.04 eV/cell. The volume is 19.89 A^3/atom. The formation energy from raw total energies is 0.1546 eV per atom. Its density of states at the Fermi level is 0.742 states/eV per atom.

A plane-wave DFT calculation with PBE was carried out for K3ZrAs after structural relaxation.

CIF file:
```
data_K3ZrAs
_chemical_formula_sum 'K3 Zr1 As1'
_cell_length_a 6.583
_cell_length_b 6.583
_cell_length_c 6.583
_cell_angle_alpha 90.00
_cell_angle_beta 90.00
_cell_angle_gamma 90.00
_space_group_name_H-M_alt 'P m -3 m'
_space_group_IT_number 221
_space_group_name_Hall '-P 4 2 3'
loop_
_atom_site_label
_atom_site_fract_x
_atom_site_fract_y
_atom_site_fract_z
K1 0.000 0.000 0.500
Zr1 0.000 0.000 0.000
As1 0.500 0.500 0.500
```

## Properties
The value obtained for the energy above the most stable polymorph in this dataset is 2.396 eV/f.u. The uncorrected energy comes out at -10.08 eV/cell. The volume is 57.04 A^3/atom. As for the energy of formation: 1.283 eV/atom. Its density of states at the Fermi level is 0.681 states/eV per atom.

A plane-wave DFT calculation with PBE was carried out for AcLaN4 after structural relaxation.

CIF file:
```
data_AcLaN4
_chemical_formula_sum 'Ac2 La2 N8'
_cell_length_a 7.509
_cell_length_b 3.829
_cell_length_c 7.257
_cell_angle_alpha 90.00
_cell_angle_beta 117.96
_cell_angle_gamma 90.00
_space_group_name_H-M_alt 'C 1 2/m 1'
_space_group_IT_number 12
loop_
_space_group_symop_operation_xyz
'x,y,z'
'-x,-y,-z'
'-x,y,-z'
'x,-y,z'
'x+1/2,y+1/2,z'
'-x+1/2,-y+1/2,-z'
'-x+1/2,y+1/2,-z'
'x+1/2,-y+1/2,z'
loop_
_atom_site_label
_atom_site_fract_x
_atom_site_fract_y
_atom_site_fract_z
Ac1 0.000 0.000 0.000
La1 0.000 0.500 0.500
N1 0.188 0.000 0.785
N2 0.192 0.500 0.302
```

## Properties
The uncorrected energy comes out at -94.17 eV/cell. The volume is 15.36 A^3/atom. The formation energy from raw total energies is -0.7913 eV per atom. Its density of states at the Fermi level is 0.709 states/eV per atom.

A plane-wave DFT calculation with PBE was carried out for Cd2GePtBr after structural relaxation.

CIF file:
```
data_Cd2GePtBr
_chemical_formula_sum 'Cd2 Ge1 Pt1 Br1'
_cell_length_a 5.371
_cell_length_b 5.371
_cell_length_c 4.656
_cell_angle_alpha 90.00
_cell_angle_beta 90.00
_cell_angle_gamma 90.00
_space_group_name_H-M_alt 'P 4/m m m'
_space_group_IT_number 123
_space_group_name_Hall '-P 4 2'
loop_
_atom_site_label
_atom_site_fract_x
_atom_site_fract_y
_atom_site_fract_z
Cd1 0.000 0.500 0.000
Ge1 0.000 0.000 0.500
Pt1 0.000 0.000 0.000
Br1 0.500 0.500 0.500
```

## Properties
The uncorrected energy comes out at -15.54 eV/cell. The volume is 26.86 A^3/atom. The formation energy from raw total energies is -0.2758 eV per atom. Its density of states at the Fermi level is 0.376 states/eV per atom.